Record 1
# PRhS4, optimized geometry, DFT PBE
# **Total energy**: -5.026 eV/atom
# **Mass density**: 3.46 g/cm³
# **DOS at the Fermi energy**: 0.004 states/eV per atom
# **Formation energy without anion corrections**: -0.148 eV/atom
data_PRhS4
_chemical_formula_sum 'P4 Rh4 S16'
_cell_length_a 6.6299
_cell_length_b 13.5441
_cell_length_c 6.4816
_cell_angle_alpha 90.00
_cell_angle_beta 120.25
_cell_angle_gamma 90.00
_symmetry_space_group_name_H-M 'C 1 2/c 1'
_symmetry_Int_Tables_number 15
loop_
_symmetry_equiv_pos_as_xyz
'x,y,z'
'-x,-y,-z'
'-x,y,-z+1/2'
'x,-y,z+1/2'
'x+1/2,y+1/2,z'
'-x+1/2,-y+1/2,-z'
'-x+1/2,y+1/2,-z+1/2'
'x+1/2,-y+1/2,z+1/2'
loop_
_atom_site_label
_atom_site_type_symbol
_atom_site_fract_x
_atom_site_fract_y
_atom_site_fract_z
P1 P 0.0000 0.1738 0.2500
Rh1 Rh 0.0000 0.3099 0.7500
S1 S 0.1902 0.2968 0.1778
S2 S 0.2435 0.0750 0.2665



Record 2
# BaLa4Cl, optimized geometry, DFT PBE
# **Total energy**: -3.744 eV/atom
# **Mass density**: 5.00 g/cm³
# **DOS at the Fermi energy**: 1.713 states/eV per atom
# **Formation energy without anion corrections**: 0.169 eV/atom
data_BaLa4Cl
_chemical_formula_sum 'Ba4 La16 Cl4'
_cell_length_a 9.8888
_cell_length_b 9.8888
_cell_length_c 9.8888
_cell_angle_alpha 90.00
_cell_angle_beta 90.00
_cell_angle_gamma 90.00
_symmetry_space_group_name_H-M 'F -4 3 m'
_symmetry_Int_Tables_number 216
_symmetry_space_group_name_Hall 'F -4 2 3'
loop_
_atom_site_label
_atom_site_type_symbol
_atom_site_fract_x
_atom_site_fract_y
_atom_site_fract_z
Ba1 Ba 0.0000 0.0000 0.0000
La1 La 0.1333 0.1333 0.3667
Cl1 Cl 0.2500 0.2500 0.7500



Record 3
# Tb4Pr2Th5, optimized geometry, DFT PBE
# **DFT formation energy**: 141 meV per atom
# **Total energy**: -5.784 eV/atom
# **Mass density**: 9.51 g/cm³
# **DOS at the Fermi energy**: 1.651 states/eV per atom
data_Tb4Pr2Th5
_chemical_formula_sum 'Tb4 Pr2 Th5'
_cell_length_a 8.8663
_cell_length_b 3.4799
_cell_length_c 11.7950
_cell_angle_alpha 90.00
_cell_angle_beta 94.17
_cell_angle_gamma 90.00
_symmetry_space_group_name_H-M 'P 1 2/m 1'
_symmetry_Int_Tables_number 10
loop_
_symmetry_equiv_pos_as_xyz
'x,y,z'
'-x,-y,-z'
'-x,y,-z'
'x,-y,z'
loop_
_atom_site_label
_atom_site_type_symbol
_atom_site_fract_x
_atom_site_fract_y
_atom_site_fract_z
Tb1 Tb 0.1601 0.0000 0.4071
Tb2 Tb 0.3085 0.0000 0.9441
Pr1 Pr 0.0545 0.5000 0.1359
Th1 Th 0.2071 0.5000 0.6758
Th2 Th 0.4215 0.5000 0.2150
Th3 Th 0.5000 0.5000 0.5000



Record 4
# NdErCu4, optimized geometry, DFT PBE
# **DFT formation energy**: -131 meV per atom
# **ΔE to the lowest computed polymorph**: 0.110 eV per atom
# **Total energy**: -4.417 eV/atom
# **Mass density**: 8.93 g/cm³
# **DOS at the Fermi energy**: 0.559 states/eV per atom
data_NdErCu4
_chemical_formula_sum 'Nd4 Er4 Cu16'
_cell_length_a 7.4945
_cell_length_b 7.4945
_cell_length_c 7.4945
_cell_angle_alpha 90.00
_cell_angle_beta 90.00
_cell_angle_gamma 90.00
_symmetry_space_group_name_H-M 'F -4 3 m'
_symmetry_Int_Tables_number 216
_symmetry_space_group_name_Hall 'F -4 2 3'
loop_
_atom_site_label
_atom_site_type_symbol
_atom_site_fract_x
_atom_site_fract_y
_atom_site_fract_z
Nd1 Nd 0.0000 0.0000 0.0000
Er1 Er 0.2500 0.2500 0.2500
Cu1 Cu 0.1240 0.1240 0.6240



Record 5
# LiAcGdCd, optimized geometry, DFT PBE
# **DFT formation energy**: -108 meV per atom
# **Total energy**: -5.362 eV/atom
# **Mass density**: 6.96 g/cm³
# **DOS at the Fermi energy**: 1.134 states/eV per atom
data_LiAcGdCd
_chemical_formula_sum 'Li4 Ac4 Gd4 Cd4'
_cell_length_a 7.8349
_cell_length_b 7.8349
_cell_length_c 7.8349
_cell_angle_alpha 90.00
_cell_angle_beta 90.00
_cell_angle_gamma 90.00
_symmetry_space_group_name_H-M 'F -4 3 m'
_symmetry_Int_Tables_number 216
_symmetry_space_group_name_Hall 'F -4 2 3'
loop_
_atom_site_label
_atom_site_type_symbol
_atom_site_fract_x
_atom_site_fract_y
_atom_site_fract_z
Li1 Li 0.0000 0.0000 0.0000
Ac1 Ac 0.2500 0.2500 0.7500
Gd1 Gd 0.2500 0.2500 0.2500
Cd1 Cd 0.0000 0.0000 0.5000



Record 6
# La3Pr4Sm4, optimized geometry, DFT PBE
# **DFT formation energy**: 147 meV per atom
# **ΔE to the lowest computed polymorph**: 0.007 eV per atom
# **Total energy**: -4.651 eV/atom
# **Mass density**: 6.53 g/cm³
# **DOS at the Fermi energy**: 1.321 states/eV per atom
data_La3Pr4Sm4
_chemical_formula_sum 'La6 Pr8 Sm8'
_cell_length_a 19.3494
_cell_length_b 11.6165
_cell_length_c 3.6378
_cell_angle_alpha 90.00
_cell_angle_beta 100.20
_cell_angle_gamma 90.00
_symmetry_space_group_name_H-M 'C 1 2/m 1'
_symmetry_Int_Tables_number 12
loop_
_symmetry_equiv_pos_as_xyz
'x,y,z'
'-x,-y,-z'
'-x,y,-z'
'x,-y,z'
'x+1/2,y+1/2,z'
'-x+1/2,-y+1/2,-z'
'-x+1/2,y+1/2,-z'
'x+1/2,-y+1/2,z'
loop_
_atom_site_label
_atom_site_type_symbol
_atom_site_fract_x
_atom_site_fract_y
_atom_site_fract_z
La1 La 0.0000 0.0000 0.0000
La2 La 0.1069 0.5000 0.1089
Pr1 Pr 0.0000 0.2858 0.5000
Pr2 Pr 0.2145 0.0000 0.2208
Sm1 Sm 0.1720 0.2467 0.6776